# LiTb2Zr (PBE, optimized geometry)
# Final energy in eV/f.u.: -19.3
# Calculated volume in Å³ per cell: 327.8
# Energy relative to the elements in eV/atom: 0.11
data_LiTb2Zr
_chemical_formula_sum 'Li3 Tb6 Zr3'
_space_group_name_H-M_alt 'R -3 m'
_space_group_IT_number 166
_space_group_name_Hall '-R 3 2"'
_cell_length_a 3.3825
_cell_length_b 3.3825
_cell_length_c 33.0856
_cell_angle_alpha 90.00
_cell_angle_beta 90.00
_cell_angle_gamma 120.00
loop_
_atom_site_label
_atom_site_fract_x
_atom_site_fract_y
_atom_site_fract_z
Li1 0.0000 0.0000 0.0000
Tb1 0.0000 0.0000 0.2466
Zr1 0.0000 0.0000 0.5000

=====

# LiTb2Zr (PBE, optimized geometry)
# Final energy in eV/f.u.: -19.3
# Calculated volume in Å³ per cell: 329.0
# Energy relative to the elements in eV/atom: 0.11
data_LiTb2Zr
_chemical_formula_sum 'Li3 Tb6 Zr3'
_space_group_name_H-M_alt 'R 3 m'
_space_group_IT_number 160
_space_group_name_Hall 'R 3 -2"'
_cell_length_a 3.3853
_cell_length_b 3.3853
_cell_length_c 33.1506
_cell_angle_alpha 90.00
_cell_angle_beta 90.00
_cell_angle_gamma 120.00
loop_
_atom_site_label
_atom_site_fract_x
_atom_site_fract_y
_atom_site_fract_z
Li1 0.0000 0.0000 0.0000
Tb1 0.0000 0.0000 0.5796
Tb2 0.0000 0.0000 0.7536
Zr1 0.0000 0.0000 0.1667

=====

# LiTbZr (PBE, optimized geometry)
# Final energy in eV/f.u.: -14.5
# Calculated volume in Å³ per cell: 76.3
# Energy relative to the elements in eV/atom: 0.18
data_LiTbZr
_chemical_formula_sum 'Li1 Tb1 Zr1'
_space_group_name_H-M_alt 'P 3 m 1'
_space_group_IT_number 156
_space_group_name_Hall 'P 3 -2"'
_cell_length_a 3.2925
_cell_length_b 3.2925
_cell_length_c 8.1270
_cell_angle_alpha 90.00
_cell_angle_beta 90.00
_cell_angle_gamma 120.00
loop_
_atom_site_label
_atom_site_fract_x
_atom_site_fract_y
_atom_site_fract_z
Li1 0.0000 0.0000 0.0000
Tb1 0.3333 0.6667 0.6435
Zr1 0.6667 0.3333 0.3215

=====

# LiTb2Zr (PBE, optimized geometry)
# Final energy in eV/f.u.: -19.4
# Calculated volume in Å³ per cell: 106.8
# Energy relative to the elements in eV/atom: 0.08
data_LiTb2Zr
_chemical_formula_sum 'Li1 Tb2 Zr1'
_space_group_name_H-M_alt 'P 4/m m m'
_space_group_IT_number 123
_space_group_name_Hall '-P 4 2'
_cell_length_a 3.443
_cell_length_b 3.443
_cell_length_c 9.009
_cell_angle_alpha 90.00
_cell_angle_beta 90.00
_cell_angle_gamma 90.00
loop_
_atom_site_label
_atom_site_fract_x
_atom_site_fract_y
_atom_site_fract_z
Li1 0.000 0.000 0.000
Tb1 0.500 0.500 0.252
Zr1 0.000 0.000 0.500

=====

# Li5Tc3 (PBE, optimized geometry)
# Final energy in eV/f.u.: -38.6
# Calculated volume in Å³ per cell: 456.8
# Energy relative to the elements in eV/atom: 0.26
data_Li5Tc3
_chemical_formula_sum 'Li20 Tc12'
_space_group_name_H-M_alt 'C 1 m 1'
_space_group_IT_number 8
_space_group_name_Hall 'C -2y'
_cell_length_a 4.879
_cell_length_b 18.568
_cell_length_c 5.595
_cell_angle_alpha 90.00
_cell_angle_beta 115.68
_cell_angle_gamma 90.00
loop_
_atom_site_label
_atom_site_fract_x
_atom_site_fract_y
_atom_site_fract_z
Li1 0.000 0.000 0.000
Li2 0.006 0.500 0.000
Li3 0.130 0.128 0.260
Li4 0.131 0.373 0.260
Li5 0.365 0.372 0.739
Li6 0.366 0.128 0.739
Tc1 0.005 0.000 0.506
Tc2 0.029 0.250 0.499
Tc3 0.209 0.250 0.999
Tc4 0.498 0.000 0.493

=====

# Li5Tc3 (PBE, optimized geometry)
# Final energy in eV/f.u.: -36.1
# Calculated volume in Å³ per cell: 238.4
# Energy relative to the elements in eV/atom: 0.57
data_Li5Tc3
_chemical_formula_sum 'Li10 Tc6'
_space_group_name_H-M_alt 'P 63/m c m'
_space_group_IT_number 193
_space_group_name_Hall '-P 6c 2'
_cell_length_a 8.0388
_cell_length_b 8.0388
_cell_length_c 4.2599
_cell_angle_alpha 90.00
_cell_angle_beta 90.00
_cell_angle_gamma 120.00
loop_
_atom_site_label
_atom_site_fract_x
_atom_site_fract_y
_atom_site_fract_z
Li1 0.0000 0.2230 0.2500
Li2 0.3333 0.6667 0.0000
Tc1 0.0000 0.4270 0.7500

=====

# Li5Tc (PBE, optimized geometry)
# Final energy in eV/f.u.: -17.0
# Calculated volume in Å³ per cell: 375.6
# Energy relative to the elements in eV/atom: 0.48
data_Li5Tc
_chemical_formula_sum 'Li20 Tc4'
_space_group_name_H-M_alt 'F -4 3 m'
_space_group_IT_number 216
_space_group_name_Hall 'F -4 2 3'
_cell_length_a 7.215
_cell_length_b 7.215
_cell_length_c 7.215
_cell_angle_alpha 90.00
_cell_angle_beta 90.00
_cell_angle_gamma 90.00
loop_
_atom_site_label
_atom_site_fract_x
_atom_site_fract_y
_atom_site_fract_z
Li1 0.000 0.000 0.000
Li2 0.124 0.124 0.624
Tc1 0.250 0.250 0.250

=====

# LiTc5 (PBE, optimized geometry)
# Final energy in eV/f.u.: -53.1
# Calculated volume in Å³ per cell: 169.1
# Energy relative to the elements in eV/atom: 0.11
data_LiTc5
_chemical_formula_sum 'Li2 Tc10'
_space_group_name_H-M_alt 'C m m m'
_space_group_IT_number 65
_space_group_name_Hall '-C 2 2'
_cell_length_a 4.267
_cell_length_b 9.265
_cell_length_c 4.278
_cell_angle_alpha 90.00
_cell_angle_beta 90.00
_cell_angle_gamma 90.00
loop_
_atom_site_label
_atom_site_fract_x
_atom_site_fract_y
_atom_site_fract_z
Li1 0.000 0.000 0.000
Tc1 0.000 0.163 0.500
Tc2 0.000 0.330 0.000
Tc3 0.000 0.500 0.500

=====

# Li5Tc (PBE, optimized geometry)
# Final energy in eV/f.u.: -16.4
# Calculated volume in Å³ per cell: 94.5
# Energy relative to the elements in eV/atom: 0.59
data_Li5Tc
_chemical_formula_sum 'Li5 Tc1'
_space_group_name_H-M_alt 'P 6/m m m'
_space_group_IT_number 191
_space_group_name_Hall '-P 6 2'
_cell_length_a 4.9081
_cell_length_b 4.9081
_cell_length_c 4.5315
_cell_angle_alpha 90.00
_cell_angle_beta 90.00
_cell_angle_gamma 120.00
loop_
_atom_site_label
_atom_site_fract_x
_atom_site_fract_y
_atom_site_fract_z
Li1 0.0000 0.5000 0.0000
Li2 0.3333 0.6667 0.5000
Tc1 0.0000 0.0000 0.5000

=====

# LiTc5 (PBE, optimized geometry)
# Final energy in eV/f.u.: -52.8
# Calculated volume in Å³ per cell: 170.8
# Energy relative to the elements in eV/atom: 0.15
data_LiTc5
_chemical_formula_sum 'Li2 Tc10'
_space_group_name_H-M_alt 'A m m 2'
_space_group_IT_number 38
_space_group_name_Hall 'A 2 -2'
_cell_length_a 4.398
_cell_length_b 2.730
_cell_length_c 14.227
_cell_angle_alpha 90.00
_cell_angle_beta 90.00
_cell_angle_gamma 90.00
loop_
_atom_site_label
_atom_site_fract_x
_atom_site_fract_y
_atom_site_fract_z
Li1 0.000 0.000 0.000
Tc1 0.000 0.000 0.330
Tc2 0.000 0.000 0.666
Tc3 0.500 0.000 0.225
Tc4 0.500 0.000 0.556
Tc5 0.500 0.000 0.892

=====

# Li5Tc (PBE, optimized geometry)
# Final energy in eV/f.u.: -19.1
# Calculated volume in Å³ per cell: 96.8
# Energy relative to the elements in eV/atom: 0.14
data_Li5Tc
_chemical_formula_sum 'Li5 Tc1'
_space_group_name_H-M_alt 'P 4/m m m'
_space_group_IT_number 123
_space_group_name_Hall '-P 4 2'
_cell_length_a 2.584
_cell_length_b 2.584
_cell_length_c 14.493
_cell_angle_alpha 90.00
_cell_angle_beta 90.00
_cell_angle_gamma 90.00
loop_
_atom_site_label
_atom_site_fract_x
_atom_site_fract_y
_atom_site_fract_z
Li1 0.000 0.000 0.000
Li2 0.000 0.000 0.350
Li3 0.500 0.500 0.173
Tc1 0.500 0.500 0.500

=====

# Li2Tc (PBE, optimized geometry)
# Final energy in eV/f.u.: -13.0
# Calculated volume in Å³ per cell: 42.1
# Energy relative to the elements in eV/atom: 0.39
data_Li2Tc
_chemical_formula_sum 'Li2 Tc1'
_space_group_name_H-M_alt 'P 6/m m m'
_space_group_IT_number 191
_space_group_name_Hall '-P 6 2'
_cell_length_a 4.5193
_cell_length_b 4.5193
_cell_length_c 2.3778
_cell_angle_alpha 90.00
_cell_angle_beta 90.00
_cell_angle_gamma 120.00
loop_
_atom_site_label
_atom_site_fract_x
_atom_site_fract_y
_atom_site_fract_z
Li1 0.3333 0.6667 0.0000
Tc1 0.0000 0.0000 0.5000

=====

# Li2Tc (PBE, optimized geometry)
# Final energy in eV/f.u.: -13.1
# Calculated volume in Å³ per cell: 171.8
# Energy relative to the elements in eV/atom: 0.36
data_Li2Tc
_chemical_formula_sum 'Li8 Tc4'
_space_group_name_H-M_alt 'I m m a'
_space_group_IT_number 74
_space_group_name_Hall '-I 2b 2'
_cell_length_a 2.498
_cell_length_b 4.822
_cell_length_c 14.262
_cell_angle_alpha 90.00
_cell_angle_beta 90.00
_cell_angle_gamma 90.00
loop_
_atom_site_label
_atom_site_fract_x
_atom_site_fract_y
_atom_site_fract_z
Li1 0.000 0.250 0.014
Li2 0.000 0.250 0.176
Tc1 0.000 0.250 0.668